MnAg3F8: optimized geometry, PBE+U.

Output
The value obtained for the density of states at the Fermi level is 5.57 states/eV per cell. As for the raw total energy: -4.119 eV per atom. Its crystal system is orthorhombic. The space-group type is C222, No. 21.

a = 6.273 Å, b = 6.273 Å, c = 6.602 Å
α = 90.00°, β = 90.00°, γ = 128.02°
Site moments in Bohr magnetons follow the coordinates.
Element x y z (fractional)
F (0.307, 0.693, 0.000)  0.09
F (0.696, 0.304, 0.500)  0.03
F (0.725, 0.750, 0.705)  0.01
F (0.304, 0.696, 0.500)  0.03
F (0.275, 0.250, 0.705)  0.01
F (0.250, 0.275, 0.295)  0.01
F (0.693, 0.307, 0.000)  0.09
F (0.750, 0.725, 0.295)  0.01
Mn (0.500, 0.500, 0.500)  3.85
Ag (0.000, 0.500, 0.253)  0.01
Ag (0.500, 0.500, 0.000)  0.41
Ag (0.500, 0.000, 0.747)  0.01